No. 1
NaMn3Re: relaxed, PBE-GGA.

Cell: 4.1021 4.1021 4.1021 Å, 90.00 90.00 90.00°
Positions (direct):
Na (0.0000, 0.0000, 0.0000)
Mn (0.0000, 0.0000, 0.5000)
Mn (0.0000, 0.5000, 0.0000)
Mn (0.5000, 0.0000, 0.0000)
Re (0.5000, 0.5000, 0.5000)

Density of states at the Fermi level in states/eV per atom: 2.689

=====

No. 2
GaAgSe2: relaxed, PBE-GGA.

Cell: 4.1737 8.4360 7.2669 Å, 90.00 125.06 90.00°
Positions (direct):
Ga (0.0000, 0.1265, 0.0000)
Ga (0.0000, 0.8735, 0.5000)
Ag (0.0404, 0.3652, 0.5404)
Ag (0.0404, 0.6348, 0.0404)
Se (0.7538, 0.1144, 0.2540)
Se (0.7538, 0.8856, 0.7540)
Se (0.8055, 0.3684, 0.8056)
Se (0.8055, 0.6316, 0.3056)

Uncorrected formation energy in eV per atom: -0.380
Density of states at the Fermi level in states/eV per atom: 0.082

=====

No. 3
Li6Zn2Sn: relaxed, PBE-GGA.

Cell: 7.8453 7.8453 2.8344 Å, 90.03 90.03 59.33°
Positions (direct):
Li (0.1658, 0.5006, 0.9947)
Li (0.1662, 0.8338, 0.0000)
Li (0.4994, 0.8342, 0.0053)
Li (0.5006, 0.1658, 0.9947)
Li (0.8338, 0.1662, 0.0000)
Li (0.8342, 0.4994, 0.0053)
Zn (0.1671, 0.1671, 0.5001)
Zn (0.8329, 0.8329, 0.4999)
Sn (0.5000, 0.5000, 0.5000)

Density of states at the Fermi level in states/eV per atom: 0.323

=====

No. 4
BaBeBiO4: relaxed, PBE-GGA.

Cell: 5.3457 5.5863 7.2576 Å, 90.00 109.82 90.00°
Positions (direct):
Ba (0.2003, 0.2500, 0.4259)
Ba (0.7997, 0.7500, 0.5741)
Be (0.2661, 0.7500, 0.1732)
Be (0.7339, 0.2500, 0.8268)
Bi (0.2839, 0.2500, 0.9651)
Bi (0.7161, 0.7500, 0.0349)
O (0.0707, 0.7500, 0.9460)
O (0.0822, 0.7500, 0.3170)
O (0.4741, 0.5189, 0.2120)
O (0.4741, 0.9811, 0.2120)
O (0.5259, 0.0189, 0.7880)
O (0.5259, 0.4811, 0.7880)
O (0.9178, 0.2500, 0.6830)
O (0.9293, 0.2500, 0.0540)

Uncorrected formation energy in eV per atom: -1.929
Density of states at the Fermi level in states/eV per atom: 0.480

=====

No. 5
LiNdAgHg: relaxed, PBE-GGA.

Cell: 8.2992 4.8525 5.4072 Å, 90.00 120.95 90.00°
Positions (direct):
Li (0.0000, 0.0000, 0.0000)
Li (0.5000, 0.5000, 0.0000)
Nd (0.4937, 0.0000, 0.4796)
Nd (0.9937, 0.5000, 0.4796)
Ag (0.2162, 0.5000, 0.1459)
Ag (0.7162, 0.0000, 0.1459)
Hg (0.2673, 0.0000, 0.8054)
Hg (0.7673, 0.5000, 0.8054)

Density of states at the Fermi level in states/eV per atom: 0.816

=====

No. 6
TlRhW2: relaxed, PBE-GGA.

Cell: 3.4170 3.4170 6.2201 Å, 90.00 90.00 90.00°
Positions (direct):
Tl (0.0000, 0.0000, 0.0000)
Rh (0.0000, 0.0000, 0.5000)
W (0.5000, 0.5000, 0.3053)
W (0.5000, 0.5000, 0.6947)

Density of states at the Fermi level in states/eV per atom: 0.391

=====

No. 7
Zn3P2O8: relaxed, PBE-GGA.

Cell: 4.9695 9.3307 8.2166 Å, 90.00 126.54 90.00°
Positions (direct):
Zn (0.0000, 0.0000, 0.0000)
Zn (0.0000, 0.5000, 0.5000)
Zn (0.1526, 0.1305, 0.6584)
Zn (0.1526, 0.3695, 0.1584)
Zn (0.8474, 0.6305, 0.8416)
Zn (0.8474, 0.8695, 0.3416)
P (0.3369, 0.6825, 0.3385)
P (0.3369, 0.8175, 0.8385)
P (0.6631, 0.1825, 0.1615)
P (0.6631, 0.3175, 0.6615)
O (0.0941, 0.5847, 0.1533)
O (0.0941, 0.9153, 0.6533)
O (0.2039, 0.6622, 0.8004)
O (0.2039, 0.8378, 0.3004)
O (0.3149, 0.1809, 0.1238)
O (0.3149, 0.3191, 0.6238)
O (0.3730, 0.6203, 0.5275)
O (0.3730, 0.8797, 0.0275)
O (0.6270, 0.1203, 0.9725)
O (0.6270, 0.3797, 0.4725)
O (0.6851, 0.6809, 0.3762)
O (0.6851, 0.8191, 0.8762)
O (0.7961, 0.1622, 0.6996)
O (0.7961, 0.3378, 0.1996)
O (0.9059, 0.0847, 0.3467)
O (0.9059, 0.4153, 0.8467)

Uncorrected formation energy in eV per atom: -1.905
Density of states at the Fermi level in states/eV per atom: 0.000

=====

No. 8
AcMg2AlAg2: relaxed, PBE-GGA.

Cell: 5.1904 5.1904 11.7731 Å, 90.00 90.00 90.00°
Positions (direct):
Ac (0.0000, 0.0000, 0.0000)
Ac (0.5000, 0.5000, 0.5000)
Mg (0.0000, 0.5000, 0.2500)
Mg (0.0000, 0.5000, 0.7500)
Mg (0.5000, 0.0000, 0.2500)
Mg (0.5000, 0.0000, 0.7500)
Al (0.0000, 0.0000, 0.5000)
Al (0.5000, 0.5000, 0.0000)
Ag (0.0000, 0.0000, 0.2914)
Ag (0.0000, 0.0000, 0.7086)
Ag (0.5000, 0.5000, 0.2086)
Ag (0.5000, 0.5000, 0.7914)

Density of states at the Fermi level in states/eV per atom: 0.675

=====

No. 9
Na2CuBiO: relaxed, PBE-GGA.

Cell: 5.8954 5.8954 3.4494 Å, 90.00 90.00 90.00°
Positions (direct):
Na (0.0000, 0.5000, 0.0000)
Na (0.5000, 0.0000, 0.0000)
Cu (0.0000, 0.0000, 0.0000)
Bi (0.5000, 0.5000, 0.5000)
O (0.0000, 0.0000, 0.5000)

Uncorrected formation energy in eV per atom: -0.394
Density of states at the Fermi level in states/eV per atom: 0.613

=====

No. 10
Ac3Sb5Au6: relaxed, PBE-GGA.

Cell: 4.7661 14.1909 10.7496 Å, 90.00 90.00 90.00°
Positions (direct):
Ac (0.2500, 0.0769, 0.2474)
Ac (0.2500, 0.4231, 0.2474)
Ac (0.2500, 0.7500, 0.2377)
Ac (0.7500, 0.2500, 0.7623)
Ac (0.7500, 0.5769, 0.7526)
Ac (0.7500, 0.9231, 0.7526)
Sb (0.2500, 0.0835, 0.8694)
Sb (0.2500, 0.4165, 0.8694)
Sb (0.2500, 0.6158, 0.5156)
Sb (0.2500, 0.7500, 0.8096)
Sb (0.2500, 0.8842, 0.5156)
Sb (0.7500, 0.1158, 0.4844)
Sb (0.7500, 0.2500, 0.1904)
Sb (0.7500, 0.3842, 0.4844)
Sb (0.7500, 0.5835, 0.1306)
Sb (0.7500, 0.9165, 0.1306)
Au (0.2500, 0.0743, 0.6149)
Au (0.2500, 0.2500, 0.0212)
Au (0.2500, 0.2500, 0.4555)
Au (0.2500, 0.4257, 0.6149)
Au (0.2500, 0.5992, 0.9878)
Au (0.2500, 0.9008, 0.9878)
Au (0.7500, 0.0992, 0.0122)
Au (0.7500, 0.4008, 0.0122)
Au (0.7500, 0.5743, 0.3851)
Au (0.7500, 0.7500, 0.5445)
Au (0.7500, 0.7500, 0.9788)
Au (0.7500, 0.9257, 0.3851)

Uncorrected formation energy in eV per atom: -0.646
Density of states at the Fermi level in states/eV per atom: 0.338

=====

No. 11
HoTh: relaxed, PBE-GGA.

Cell: 3.9893 3.9893 3.9893 Å, 90.00 90.00 90.00°
Positions (direct):
Ho (0.0000, 0.0000, 0.0000)
Th (0.5000, 0.5000, 0.5000)

Density of states at the Fermi level in states/eV per atom: 1.567

=====

No. 12
TiVNiOs: relaxed, PBE-GGA.

Cell: 6.0330 6.0330 6.0330 Å, 90.00 90.00 90.00°
Positions (direct):
Ti (0.0000, 0.0000, 0.0000)
Ti (0.0000, 0.5000, 0.5000)
Ti (0.5000, 0.0000, 0.5000)
Ti (0.5000, 0.5000, 0.0000)
V (0.0000, 0.0000, 0.5000)
V (0.0000, 0.5000, 0.0000)
V (0.5000, 0.0000, 0.0000)
V (0.5000, 0.5000, 0.5000)
Ni (0.2500, 0.2500, 0.7500)
Ni (0.2500, 0.7500, 0.2500)
Ni (0.7500, 0.2500, 0.2500)
Ni (0.7500, 0.7500, 0.7500)
Os (0.2500, 0.2500, 0.2500)
Os (0.2500, 0.7500, 0.7500)
Os (0.7500, 0.2500, 0.7500)
Os (0.7500, 0.7500, 0.2500)

Density of states at the Fermi level in states/eV per atom: 1.246

=====

No. 13
BaYCd2: relaxed, PBE-GGA.

Cell: 9.9411 4.0794 7.3119 Å, 90.00 105.05 90.00°
Positions (direct):
Ba (0.0000, 0.0000, 0.0000)
Ba (0.5000, 0.5000, 0.0000)
Y (0.0000, 0.5000, 0.5000)
Y (0.5000, 0.0000, 0.5000)
Cd (0.2402, 0.0000, 0.6719)
Cd (0.2598, 0.5000, 0.3281)
Cd (0.7402, 0.5000, 0.6719)
Cd (0.7598, 0.0000, 0.3281)

Density of states at the Fermi level in states/eV per atom: 1.260

=====

No. 14
SnHCl3: relaxed, PBE-GGA.

Cell: 5.2166 5.2166 5.2166 Å, 90.00 90.00 90.00°
Positions (direct):
Sn (0.0000, 0.0000, 0.0000)
H (0.5000, 0.5000, 0.5000)
Cl (0.0000, 0.0000, 0.5000)
Cl (0.0000, 0.5000, 0.0000)
Cl (0.5000, 0.0000, 0.0000)

Density of states at the Fermi level in states/eV per atom: 0.216

=====

No. 15
BaNdSn2: relaxed, PBE-GGA.

Cell: 4.2309 4.2309 7.5370 Å, 90.00 90.00 90.00°
Positions (direct):
Ba (0.0000, 0.0000, 0.0000)
Nd (0.0000, 0.0000, 0.5000)
Sn (0.5000, 0.5000, 0.3005)
Sn (0.5000, 0.5000, 0.6995)

Density of states at the Fermi level in states/eV per atom: 0.565

=====

No. 16
Ho2V3Ge4: relaxed, PBE-GGA.

Cell: 6.9355 6.9325 6.8350 Å, 90.00 109.59 90.00°
Positions (direct):
Ho (0.1868, 0.1703, 0.0561)
Ho (0.1868, 0.3297, 0.5561)
Ho (0.8132, 0.6703, 0.4439)
Ho (0.8132, 0.8297, 0.9439)
V (0.2573, 0.6678, 0.2474)
V (0.2573, 0.8322, 0.7474)
V (0.5000, 0.0000, 0.5000)
V (0.5000, 0.5000, 0.0000)
V (0.7427, 0.1678, 0.2526)
V (0.7427, 0.3322, 0.7526)
Ge (0.0926, 0.5462, 0.8625)
Ge (0.0926, 0.9538, 0.3625)
Ge (0.4994, 0.1346, 0.8644)
Ge (0.4994, 0.3654, 0.3644)
Ge (0.5006, 0.6346, 0.6356)
Ge (0.5006, 0.8654, 0.1356)
Ge (0.9074, 0.0462, 0.6375)
Ge (0.9074, 0.4538, 0.1375)

Density of states at the Fermi level in states/eV per atom: 0.713

=====

No. 17
PmInS2O8: relaxed, PBE-GGA.

Cell: 5.3793 5.3793 8.5703 Å, 90.94 90.94 62.99°
Positions (direct):
Pm (0.0000, 0.0000, 0.0000)
In (0.0000, 0.0000, 0.5000)
S (0.3556, 0.3556, 0.2228)
S (0.6444, 0.6444, 0.7772)
O (0.2314, 0.6634, 0.1921)
O (0.2326, 0.2326, 0.1054)
O (0.3048, 0.3048, 0.3828)
O (0.3366, 0.7686, 0.8079)
O (0.6634, 0.2314, 0.1921)
O (0.6952, 0.6952, 0.6172)
O (0.7674, 0.7674, 0.8946)
O (0.7686, 0.3366, 0.8079)

Uncorrected formation energy in eV per atom: -1.849
Density of states at the Fermi level in states/eV per atom: 0.000

=====

No. 18
NaYHf: relaxed, PBE-GGA.

Cell: 3.2781 5.8436 9.6941 Å, 79.10 80.29 73.73°
Positions (direct):
Na (0.0000, 0.0000, 0.0000)
Na (0.3292, 0.4987, 0.8403)
Y (0.3279, 0.0139, 0.3302)
Y (0.6744, 0.0155, 0.6364)
Hf (0.0096, 0.5124, 0.4683)
Hf (0.6449, 0.5023, 0.2073)

Density of states at the Fermi level in states/eV per atom: 0.812

=====

no.,VASP energy (eV per atom)
1,-5.69
2,-3.59
3,-2.18
4,-6.12
5,-2.78
6,-8.19
7,-6.08
8,-2.81
9,-3.51
10,-4.40
11,-5.86
12,-8.84
13,-2.66
14,-2.80
15,-4.32
16,-6.70
17,-6.47
18,-5.60